Entry 1:
Here is LaTb2 after structural relaxation from OQMD. Energies are from PBE.

a = 5.4393 Å, b = 5.4393 Å, c = 5.4393 Å
α = 60.00°, β = 60.00°, γ = 60.00°
Fractional coordinates of all 3 atoms:
La: 0.0000 0.0000 0.0000
Tb: 0.2500 0.2500 0.2500
Tb: 0.7500 0.7500 0.7500

Output
- Energy of formation from the pure elements: 776 meV/atom
- SG: No. 225

Entry 2:
Here is LaTb2Te3 after structural relaxation from OQMD. Energies are from PBE.

a = 4.4172 Å, b = 4.4172 Å, c = 10.9887 Å
α = 90.00°, β = 90.00°, γ = 120.00°
Fractional coordinates of all 6 atoms:
La: 0.0000 0.0000 0.0000
Tb: 0.3333 0.6667 0.6617
Tb: 0.6667 0.3333 0.3383
Te: 0.0000 0.0000 0.5000
Te: 0.3333 0.6667 0.1806
Te: 0.6667 0.3333 0.8194

Output
- SG: No. 164

Entry 3:
Here is LaTbTe after structural relaxation from OQMD. Energies are from PBE.

a = 5.2177 Å, b = 5.2177 Å, c = 5.2177 Å
α = 60.00°, β = 60.00°, γ = 60.00°
Fractional coordinates of all 3 atoms:
La: 0.0000 0.0000 0.0000
Tb: 0.5000 0.5000 0.5000
Te: 0.2500 0.2500 0.2500

Output
- SG: No. 216

Entry 4:
Here is LaTbZnTe3 after structural relaxation from OQMD. Energies are from PBE.

a = 7.9845 Å, b = 7.9845 Å, c = 10.6549 Å
α = 90.00°, β = 90.00°, γ = 148.94°
Fractional coordinates of all 12 atoms:
La: 0.2264 0.7736 0.7500
La: 0.7736 0.2264 0.2500
Tb: 0.0000 0.0000 0.0000
Tb: 0.0000 0.0000 0.5000
Zn: 0.4788 0.5212 0.2500
Zn: 0.5212 0.4788 0.7500
Te: 0.1116 0.8884 0.2500
Te: 0.3532 0.6468 0.0483
Te: 0.3532 0.6468 0.4517
Te: 0.6468 0.3532 0.5483
Te: 0.6468 0.3532 0.9517
Te: 0.8884 0.1116 0.7500

Output
- SG: No. 63

Entry 5:
Here is LaTbTh after structural relaxation from OQMD. Energies are from PBE.

a = 5.3822 Å, b = 5.3822 Å, c = 5.3822 Å
α = 60.00°, β = 60.00°, γ = 60.00°
Fractional coordinates of all 3 atoms:
La: 0.0000 0.0000 0.0000
Tb: 0.7500 0.7500 0.7500
Th: 0.2500 0.2500 0.2500

Output
- Energy of formation from the pure elements: 801 meV/atom
- SG: No. 216

Entry 6:
Here is LaTbTl2 after structural relaxation from OQMD. Energies are from PBE.

a = 3.8517 Å, b = 3.8517 Å, c = 7.8750 Å
α = 90.00°, β = 90.00°, γ = 90.00°
Fractional coordinates of all 4 atoms:
La: 0.0000 0.0000 0.0000
Tb: 0.0000 0.0000 0.5000
Tl: 0.5000 0.5000 0.2673
Tl: 0.5000 0.5000 0.7327

Output
- SG: No. 123

no.,M_tot (Bohr magnetons per cell),VASP energy (eV per atom)
1,1.466,-3.951
2,0.010,-5.344
3,0.757,-4.859
4,0.015,-4.420
5,1.739,-4.854
6,0.054,-3.966